# SiAgIr2Os meta-GGA SCAN single point on PBEsol structure
# Raw total energy, eV/atom: -49.22
# Uncorrected formation energy, meV/atom: 1870
data_SiAgIr2Os
_space_group_name_H-M_alt 'P 4/m m m'
_space_group_IT_number 123
_space_group_name_Hall '-P 4 2'
_cell_length_a 4.6472
_cell_length_b 4.6472
_cell_length_c 4.9563
_cell_angle_alpha 90.00
_cell_angle_beta 90.00
_cell_angle_gamma 90.00
loop_
_atom_site_label
_atom_site_fract_x
_atom_site_fract_y
_atom_site_fract_z
Si1 0.0000 0.0000 0.0000
Ag1 0.5000 0.5000 0.0000
Ir1 0.0000 0.5000 0.5000
Os1 0.5000 0.5000 0.5000

# AgPIr2 meta-GGA SCAN single point on PBEsol structure
# ΔH_f (0 K), eV per atom: 0.642
# Raw total energy, eV/atom: -45.35
data_AgPIr2
_space_group_name_H-M_alt 'I -4 m 2'
_space_group_IT_number 119
_space_group_name_Hall 'I -4 -2'
_cell_length_a 3.8890
_cell_length_b 3.8890
_cell_length_c 7.6383
_cell_angle_alpha 90.00
_cell_angle_beta 90.00
_cell_angle_gamma 90.00
loop_
_atom_site_label
_atom_site_fract_x
_atom_site_fract_y
_atom_site_fract_z
Ag1 0.0000 0.0000 0.0000
P1 0.0000 0.5000 0.7500
Ir1 0.0000 0.0000 0.5000
Ir2 0.0000 0.5000 0.2500

# Ag2PIr meta-GGA SCAN single point on PBEsol structure
# ΔH_f (0 K), eV per atom: 0.004
# Raw total energy, eV/atom: -36.05
data_Ag2PIr
_space_group_name_H-M_alt 'P 4 m m'
_space_group_IT_number 99
_space_group_name_Hall 'P 4 -2'
_cell_length_a 2.9006
_cell_length_b 2.9006
_cell_length_c 7.3823
_cell_angle_alpha 90.00
_cell_angle_beta 90.00
_cell_angle_gamma 90.00
loop_
_atom_site_label
_atom_site_fract_x
_atom_site_fract_y
_atom_site_fract_z
Ag1 0.0000 0.0000 0.0000
Ag2 0.5000 0.5000 0.2687
P1 0.5000 0.5000 0.7176
Ir1 0.0000 0.0000 0.5519

# AgPIr2 meta-GGA SCAN single point on PBEsol structure
# ΔH_f (0 K), eV per atom: 0.168
# Raw total energy, eV/atom: -45.82
data_AgPIr2
_space_group_name_H-M_alt 'I m m m'
_space_group_IT_number 71
_space_group_name_Hall '-I 2 2'
_cell_length_a 2.8485
_cell_length_b 4.5780
_cell_length_c 8.8615
_cell_angle_alpha 90.00
_cell_angle_beta 90.00
_cell_angle_gamma 90.00
loop_
_atom_site_label
_atom_site_fract_x
_atom_site_fract_y
_atom_site_fract_z
Ag1 0.0000 0.0000 0.0000
P1 0.0000 0.0000 0.5000
Ir1 0.0000 0.5000 0.2060

# AgPIr2 meta-GGA SCAN single point on PBEsol structure
# ΔH_f (0 K), eV per atom: 0.144
# Raw total energy, eV/atom: -45.85
data_AgPIr2
_space_group_name_H-M_alt 'C 1 m 1'
_space_group_IT_number 8
_space_group_name_Hall 'C -2y'
_cell_length_a 9.9512
_cell_length_b 2.7951
_cell_length_c 5.0611
_cell_angle_alpha 90.00
_cell_angle_beta 117.62
_cell_angle_gamma 90.00
loop_
_atom_site_label
_atom_site_fract_x
_atom_site_fract_y
_atom_site_fract_z
Ag1 0.0000 0.0000 0.0000
P1 0.3205 0.5000 0.2489
Ir1 0.0329 0.5000 0.5424
Ir2 0.2574 0.0000 0.5477

# AgIr2Pb meta-GGA SCAN single point on PBEsol structure
# ΔH_f (0 K), eV per atom: 0.789
# Raw total energy, eV/atom: -61.55
data_AgIr2Pb
_space_group_name_H-M_alt 'R -3 m'
_space_group_IT_number 166
_space_group_name_Hall '-R 3 2"'
_cell_length_a 2.9879
_cell_length_b 2.9879
_cell_length_c 26.4312
_cell_angle_alpha 90.00
_cell_angle_beta 90.00
_cell_angle_gamma 120.00
loop_
_atom_site_label
_atom_site_fract_x
_atom_site_fract_y
_atom_site_fract_z
Ag1 0.0000 0.0000 0.0000
Ir1 0.0000 0.0000 0.2505
Pb1 0.0000 0.0000 0.5000

> raw total energy of number 1 (SiAgIr2Os)?

-49.22 eV/atom

> Among the records above, which one has the highest raw total energy?

Ag2PIr

> Which value of raw total energy does entry 6 give?

-61.55 eV/atom